Density functional theory data (PBE-GGA) for KMn2Mo after structural relaxation.

Unit cell a=6.701 b=6.701 c=6.701 alpha=90.00 beta=90.00 gamma=90.00
Space group F-43m (No. 216)
One atom of each set of equivalent atoms:
K  0.000  0.000  0.000 (multiplicity 4)
Mn  0.000  0.000  0.500 (multiplicity 4)
Mn  0.250  0.250  0.250 (multiplicity 4)
Mo  0.250  0.250  0.750 (multiplicity 4)

The calculation puts the calculated density at 5.41 g/cm³. The value obtained for the volume is 301 Å³ per cell. For the excess energy over the best structure of this formula in the dataset, the calculation gives 3.301 eV per formula unit. The value obtained for the total magnetic moment is 6.08 μB per formula unit.

Density functional theory data (PBE-GGA) for KMn2Mo after structural relaxation.

Unit cell a=2.9212 b=2.9212 c=29.9728 alpha=90.00 beta=90.00 gamma=120.00
Space group R3m (No. 160, hexagonal axes)
One atom of each set of equivalent atoms:
K  0.0000  0.0000  0.0000 (multiplicity 3)
Mn  0.0000  0.0000  0.5027 (multiplicity 3)
Mn  0.0000  0.0000  0.7693 (multiplicity 3)
Mo  0.0000  0.0000  0.2285 (multiplicity 3)

The calculation puts the calculated density at 5.51 g/cm³. The value obtained for the volume is 221 Å³ per cell. For the excess energy over the best structure of this formula in the dataset, the calculation gives 1.160 eV per formula unit. The value obtained for the total magnetic moment is 4.83 μB per formula unit.

Density functional theory data (PBE-GGA) for KMnMo after structural relaxation.

Unit cell a=7.450 b=7.450 c=7.450 alpha=90.00 beta=90.00 gamma=90.00
Space group F-43m (No. 216)
One atom of each set of equivalent atoms:
K  0.000  0.000  0.000 (multiplicity 4)
Mn  0.250  0.250  0.750 (multiplicity 4)
Mo  0.250  0.250  0.250 (multiplicity 4)

The calculation puts the calculated density at 3.05 g/cm³. The value obtained for the volume is 414 Å³ per cell. For the excess energy over the best structure of this formula in the dataset, the calculation gives 4.993 eV per formula unit. The value obtained for the total magnetic moment is 9.26 μB per formula unit.

Density functional theory data (PBE-GGA) for KMn2Mo after structural relaxation.

Unit cell a=7.295 b=2.964 c=8.176 alpha=90.00 beta=94.61 gamma=90.00
Space group Cm (No. 8)
One atom of each set of equivalent atoms:
K  0.000  0.000  0.000 (multiplicity 2)
Mn  0.272  0.500  0.352 (multiplicity 2)
Mn  0.499  0.000  0.513 (multiplicity 2)
Mo  0.220  0.000  0.639 (multiplicity 2)

The calculation puts the calculated density at 4.62 g/cm³. The value obtained for the volume is 176 Å³ per cell. For the excess energy over the best structure of this formula in the dataset, the calculation gives 1.172 eV per formula unit. The value obtained for the total magnetic moment is 4.51 μB per formula unit.

Density functional theory data (PBE-GGA) for KMnMo after structural relaxation.

Unit cell a=6.741 b=6.741 c=6.741 alpha=90.00 beta=90.00 gamma=90.00
Space group F-43m (No. 216)
One atom of each set of equivalent atoms:
K  0.000  0.000  0.000 (multiplicity 4)
Mn  0.250  0.250  0.250 (multiplicity 4)
Mo  0.000  0.000  0.500 (multiplicity 4)

The calculation puts the calculated density at 4.12 g/cm³. The value obtained for the volume is 306 Å³ per cell. For the excess energy over the best structure of this formula in the dataset, the calculation gives 2.536 eV per formula unit. The value obtained for the total magnetic moment is 0.28 μB per formula unit.

Density functional theory data (PBE-GGA) for KMn2Mo after structural relaxation.

Unit cell a=5.366 b=5.366 c=15.862 alpha=90.00 beta=90.00 gamma=90.00
Space group I4_1/amd (No. 141, origin choice 2)
One atom of each set of equivalent atoms:
K  0.000  0.250  0.375 (multiplicity 4)
Mn  0.000  0.000  0.000 (multiplicity 8)
Mo  0.000  0.250  0.875 (multiplicity 4)

The calculation puts the calculated density at 3.56 g/cm³. The value obtained for the volume is 457 Å³ per cell. For the excess energy over the best structure of this formula in the dataset, the calculation gives 2.920 eV per formula unit. The value obtained for the total magnetic moment is 5.19 μB per formula unit.

Density functional theory data (PBE-GGA) for KMn2Mo after structural relaxation.

Unit cell a=2.836 b=3.856 c=7.514 alpha=90.00 beta=90.00 gamma=90.00
Space group Pmmm (No. 47)
One atom of each set of equivalent atoms:
K  0.000  0.000  0.000 (multiplicity 1)
Mn  0.500  0.500  0.367 (multiplicity 2)
Mo  0.000  0.000  0.500 (multiplicity 1)

The calculation puts the calculated density at 4.95 g/cm³. The value obtained for the volume is 82 Å³ per cell. For the excess energy over the best structure of this formula in the dataset, the calculation gives 1.026 eV per formula unit. The value obtained for the total magnetic moment is 0.01 μB per formula unit.

Density functional theory data (PBE-GGA) for K3MnMo after structural relaxation.

Unit cell a=6.791 b=6.791 c=6.791 alpha=90.00 beta=90.00 gamma=90.00
Space group Pm-3m (No. 221)
One atom of each set of equivalent atoms:
K  0.000  0.000  0.500 (multiplicity 3)
Mn  0.500  0.500  0.500 (multiplicity 1)
Mo  0.000  0.000  0.000 (multiplicity 1)

The calculation puts the calculated density at 1.42 g/cm³. The value obtained for the volume is 313 Å³ per cell. For the excess energy over the best structure of this formula in the dataset, the calculation gives 0.000 eV per formula unit. The value obtained for the total magnetic moment is 10.38 μB per formula unit.

Density functional theory data (PBE-GGA) for KMnMo after structural relaxation.

Unit cell a=2.920 b=3.870 c=12.799 alpha=90.00 beta=90.00 gamma=90.00
Space group Imm2 (No. 44)
One atom of each set of equivalent atoms:
K  0.000  0.000  0.000 (multiplicity 2)
Mn  0.000  0.000  0.730 (multiplicity 2)
Mo  0.000  0.000  0.268 (multiplicity 2)

The calculation puts the calculated density at 4.36 g/cm³. The value obtained for the volume is 145 Å³ per cell. For the excess energy over the best structure of this formula in the dataset, the calculation gives 0.000 eV per formula unit. The value obtained for the total magnetic moment is 1.57 μB per formula unit.

Density functional theory data (PBE-GGA) for KMn2Mo after structural relaxation.

Unit cell a=3.328 b=4.490 c=5.129 alpha=90.00 beta=90.00 gamma=90.00
Space group Pmmm (No. 47)
One atom of each set of equivalent atoms:
K  0.000  0.000  0.000 (multiplicity 1)
Mn  0.000  0.500  0.500 (multiplicity 1)
Mn  0.500  0.500  0.000 (multiplicity 1)
Mo  0.500  0.000  0.500 (multiplicity 1)

The calculation puts the calculated density at 5.31 g/cm³. The value obtained for the volume is 77 Å³ per cell. For the excess energy over the best structure of this formula in the dataset, the calculation gives 3.594 eV per formula unit. The value obtained for the total magnetic moment is 4.43 μB per formula unit.

Density functional theory data (PBE-GGA) for KMnMo after structural relaxation.

Unit cell a=5.2107 b=5.2107 c=2.6256 alpha=90.00 beta=90.00 gamma=120.00
Space group P3m1 (No. 156)
One atom of each set of equivalent atoms:
K  0.0000  0.0000  0.0000 (multiplicity 1)
Mn  0.6667  0.3333  0.2904 (multiplicity 1)
Mo  0.3333  0.6667  0.7365 (multiplicity 1)

The calculation puts the calculated density at 5.11 g/cm³. The value obtained for the volume is 62 Å³ per cell. For the excess energy over the best structure of this formula in the dataset, the calculation gives 1.494 eV per formula unit. The value obtained for the total magnetic moment is 2.96 μB per formula unit.

no.,ΔH_f (0 K) (meV per atom)
1,1453
2,918
3,2628
4,921
5,1809
6,1358
7,884
8,1655
9,964
10,1526
11,1462